No. 1
Material: Ti2AsHRh
Method: DFT, PBE
State: relaxed

Cell: 4.0534 4.0534 3.8353 Å, 90.00 90.00 90.00°
With the nearest neighbours (Å) after each atom.
Positions (direct):
Ti1 0.0000 0.5000 0.0000  2 H 2.03
Rh1 0.0000 0.0000 0.5000  2 H 1.92
H1 0.0000 0.0000 0.0000  2 Rh 1.92, 4 Ti 2.03
Ti2 0.5000 0.0000 0.0000  2 H 2.03
As1 0.5000 0.5000 0.5000  8 Ti 2.79, 4 Rh 2.87

Properties
Magnetic moment in μB per cell: 0.00
Total DFT energy (no corrections) in eV/atom: -6.813



No. 2
Material: U2Co3B2
Method: DFT, PBE
State: relaxed

Cell: 3.2759 4.9966 6.2355 Å, 116.00 90.00 109.14°
With the nearest neighbours (Å) after each atom.
Positions (direct):
Co1 0.3742 0.7484 0.5534  3 B 2.11-2.13
U1 0.1585 0.3171 0.8159  4 B 2.65-2.76, 2 U 2.69, 7 Co 2.72-2.91
U2 0.8415 0.6829 0.1841  4 B 2.65-2.76, 2 U 2.69, 7 Co 2.72-2.91
Co2 0.6258 0.2516 0.4466  3 B 2.11-2.13
B1 0.8570 0.7140 0.7527  5 Co 2.11-2.23
B2 0.1430 0.2861 0.2473  5 Co 2.11-2.23
Co3 0.5000 0.0000 0.0000  4 B 2.23, 2 Co 2.47

Properties
Magnetic moment in μB per cell: 0.00
Total DFT energy (no corrections) in eV/atom: -8.465
Calculated formation energy in meV per atom: -286.8